VASP calculation (PBE-GGA) on KCa2Cu2 after structural relaxation.

a = 8.387 Å, b = 8.387 Å, c = 4.081 Å
α = 90.00°, β = 90.00°, γ = 90.00°
Positions (direct):
Cu: 0.606 0.106 0.000
Cu: 0.106 0.394 0.000
Cu: 0.394 0.894 0.000
Cu: 0.894 0.606 0.000
Ca: 0.841 0.341 0.500
Ca: 0.341 0.159 0.500
Ca: 0.159 0.659 0.500
Ca: 0.659 0.841 0.500
K: 0.500 0.500 0.000
K: 0.000 0.000 0.000

Summary:
**Polymorph energy (0 for the lowest one)**: 0.000 eV/atom
**D(E_F)**: 4.2 states/eV/f.u.
**Total energy**: -25.71 eV/cell